No. 1
VASP calculation (PBE) on a relaxed SmSbAu2 crystal.

Summary:
Crystal system: tetragonal
Spin magnetization, μB per formula unit: 0.00
E, eV/atom: -4.442

a = 4.4730 Å, b = 4.4730 Å, c = 4.5667 Å
α = 90.00°, β = 90.00°, γ = 90.00°
Closest atoms and distances in Å follow each position.
Space group P4/mmm (No. 123)
Symmetry-distinct sites (fractional):
Sm: 0.0000 0.0000 0.0000  4 Sb 3.16, 8 Au 3.20
Sb: 0.5000 0.5000 0.0000  4 Sm 3.16, 8 Au 3.20
Au: 0.0000 0.5000 0.5000  4 Au 3.16, 4 Sb 3.20, 4 Sm 3.20


No. 2
VASP calculation (PBE) on a relaxed Mo2RuN2 crystal.

Summary:
Crystal system: tetragonal
Spin magnetization, μB per formula unit: 0.72
Energy relative to the lowest polymorph listed for this composition, eV per atom: 0.000
E, eV/atom: -9.231

a = 3.6696 Å, b = 3.6696 Å, c = 9.0041 Å
α = 90.00°, β = 90.00°, γ = 90.00°
Closest atoms and distances in Å follow each position.
Space group I4/mmm (No. 139)
Symmetry-distinct sites (fractional):
Mo: 0.0000 0.0000 0.1471  4 N 2.06
Ru: 0.0000 0.0000 0.5000  8 N 2.90, 10 Mo 2.91-3.18
N: 0.0000 0.5000 0.2500  4 Mo 2.06


No. 3
VASP calculation (PBE) on a relaxed IrBr5 crystal.

Summary:
Crystal system: hexagonal
Spin magnetization, μB per formula unit: 1.45
Energy relative to the lowest polymorph listed for this composition, eV per atom: 0.630
E, eV/atom: -1.991

a = 5.1193 Å, b = 5.1193 Å, c = 7.7605 Å
α = 90.00°, β = 90.00°, γ = 120.00°
Closest atoms and distances in Å follow each position.
Space group P-62m (No. 189)
Symmetry-distinct sites (fractional):
Ir: 0.0000 0.0000 0.0000  6 Br 2.96
Br: 0.0000 0.6239 0.5000  4 Br 2.79
Br: 0.3333 0.6667 0.0000  3 Ir 2.96, 3 Br 2.96